The following is a PBE-GGA calculation of LaErZnCu after structural relaxation, from the Alexandria database.

Calculated values
E above lowest polymorph = 0.0233 eV per atom
Energy relative to the elements = -0.239 eV per atom
Total moment = 0.00 μB per cell

Lattice parameters (Å, degrees): 7.220 7.220 7.220 90.00 90.00 90.00
Space group F-43m (No. 216)
Asymmetric unit:
La (0.000, 0.000, 0.000) (multiplicity 4)
Er (0.000, 0.000, 0.500) (multiplicity 4)
Zn (0.250, 0.250, 0.250) (multiplicity 4)
Cu (0.250, 0.250, 0.750) (multiplicity 4)

***

The following is a PBE-GGA calculation of LiErCu5 after structural relaxation, from the Alexandria database.

Calculated values
Energy relative to the elements = -0.159 eV per atom
Total moment = 0.00 μB per cell

Lattice parameters (Å, degrees): 8.026 5.053 10.176 90.00 90.00 90.00
Space group Pnma (No. 62)
Asymmetric unit:
Li (0.138, 0.250, 0.141) (multiplicity 4)
Er (0.247, 0.750, 0.937) (multiplicity 4)
Cu (0.061, 0.250, 0.904) (multiplicity 4)
Cu (0.069, 0.506, 0.690) (multiplicity 8)
Cu (0.095, 0.750, 0.483) (multiplicity 4)
Cu (0.183, 0.750, 0.249) (multiplicity 4)

***

The following is a PBE-GGA calculation of Li2Er2Cu15 after structural relaxation, from the Alexandria database.

Calculated values
Energy relative to the elements = -0.147 eV per atom
Total moment = 0.00 μB per cell

Lattice parameters (Å, degrees): 8.5325 8.5325 12.6093 90.00 90.00 120.00
Space group R-3m (No. 166, hexagonal axes)
Asymmetric unit:
Li (0.0000, 0.0000, 0.0940) (multiplicity 6)
Er (0.0000, 0.0000, 0.3463) (multiplicity 6)
Cu (0.0000, 0.3053, 0.0000) (multiplicity 18)
Cu (0.0000, 0.5000, 0.5000) (multiplicity 9)
Cu (0.0031, 0.5015, 0.1565) (multiplicity 18)

***

The following is a PBE-GGA calculation of LiEr4Cu3 after structural relaxation, from the Alexandria database.

Calculated values
Energy relative to the elements = -0.178 eV per atom
Total moment = 0.00 μB per cell

Lattice parameters (Å, degrees): 3.491 4.903 9.806 90.00 90.00 90.00
Space group Pmmm (No. 47)
Asymmetric unit:
Li (0.000, 0.000, 0.000) (multiplicity 1)
Er (0.500, 0.000, 0.260) (multiplicity 2)
Er (0.500, 0.500, 0.000) (multiplicity 1)
Er (0.500, 0.500, 0.500) (multiplicity 1)
Cu (0.000, 0.000, 0.500) (multiplicity 1)
Cu (0.000, 0.500, 0.242) (multiplicity 2)

***

The following is a PBE-GGA calculation of LiEr3Cu8 after structural relaxation, from the Alexandria database.

Calculated values
Energy relative to the elements = -0.194 eV per atom
Total moment = 0.00 μB per cell

Lattice parameters (Å, degrees): 5.1459 5.1459 25.1191 90.00 90.00 120.00
Space group R3m (No. 160, hexagonal axes)
Asymmetric unit:
Li (0.0000, 0.0000, 0.0000) (multiplicity 3)
Er (0.0000, 0.0000, 0.3632) (multiplicity 3)
Er (0.0000, 0.0000, 0.4917) (multiplicity 3)
Er (0.0000, 0.0000, 0.8791) (multiplicity 3)
Cu (0.0000, 0.0000, 0.1839) (multiplicity 3)
Cu (0.0000, 0.0000, 0.6822) (multiplicity 3)
Cu (0.0003, 0.5002, 0.4324) (multiplicity 9)
Cu (0.1701, 0.3402, 0.2668) (multiplicity 9)

***

The following is a PBE-GGA calculation of LiErCu after structural relaxation, from the Alexandria database.

Calculated values
E above lowest polymorph = 0.0000 eV per atom
Energy relative to the elements = -0.062 eV per atom
Total moment = 0.00 μB per cell

Lattice parameters (Å, degrees): 3.497 3.497 9.313 90.00 90.00 90.00
Space group I4mm (No. 107)
Asymmetric unit:
Li (0.000, 0.000, 0.000) (multiplicity 2)
Er (0.000, 0.000, 0.300) (multiplicity 2)
Cu (0.000, 0.000, 0.635) (multiplicity 2)

***

The following is a PBE-GGA calculation of LiErCu4 after structural relaxation, from the Alexandria database.

Calculated values
Energy relative to the elements = -0.184 eV per atom
Total moment = 0.00 μB per cell

Lattice parameters (Å, degrees): 7.121 7.121 7.121 90.00 90.00 90.00
Space group F-43m (No. 216)
Asymmetric unit:
Li (0.000, 0.000, 0.000) (multiplicity 4)
Er (0.250, 0.250, 0.250) (multiplicity 4)
Cu (0.126, 0.126, 0.626) (multiplicity 16)

***

The following is a PBE-GGA calculation of LiEr2Cu after structural relaxation, from the Alexandria database.

Calculated values
Energy relative to the elements = 0.110 eV per atom
Total moment = 0.00 μB per cell

Lattice parameters (Å, degrees): 3.4499 3.4499 28.8168 90.00 90.00 120.00
Space group R-3m (No. 166, hexagonal axes)
Asymmetric unit:
Li (0.0000, 0.0000, 0.0000) (multiplicity 3)
Er (0.0000, 0.0000, 0.2373) (multiplicity 6)
Cu (0.0000, 0.0000, 0.5000) (multiplicity 3)

***

The following is a PBE-GGA calculation of LiEr2Cu after structural relaxation, from the Alexandria database.

Calculated values
Energy relative to the elements = -0.077 eV per atom
Total moment = 0.00 μB per cell

Lattice parameters (Å, degrees): 3.521 3.521 7.183 90.00 90.00 90.00
Space group P4/mmm (No. 123)
Asymmetric unit:
Li (0.000, 0.000, 0.000) (multiplicity 1)
Er (0.500, 0.500, 0.273) (multiplicity 2)
Cu (0.000, 0.000, 0.500) (multiplicity 1)

***

The following is a PBE-GGA calculation of LiEr5Cu4 after structural relaxation, from the Alexandria database.

Calculated values
Energy relative to the elements = -0.200 eV per atom
Total moment = 0.00 μB per cell

Lattice parameters (Å, degrees): 3.451 3.451 17.638 90.00 90.00 90.00
Space group P4/mmm (No. 123)
Asymmetric unit:
Li (0.000, 0.000, 0.000) (multiplicity 1)
Er (0.500, 0.500, 0.113) (multiplicity 2)
Er (0.500, 0.500, 0.305) (multiplicity 2)
Er (0.500, 0.500, 0.500) (multiplicity 1)
Cu (0.000, 0.000, 0.204) (multiplicity 2)
Cu (0.000, 0.000, 0.403) (multiplicity 2)

***

The following is a PBE-GGA calculation of LiErCu after structural relaxation, from the Alexandria database.

Calculated values
E above lowest polymorph = 0.1144 eV per atom
Energy relative to the elements = 0.052 eV per atom
Total moment = 0.00 μB per cell

Lattice parameters (Å, degrees): 7.655 13.024 7.121 90.00 90.00 90.00
Space group Ima2 (No. 46)
Asymmetric unit:
Li (0.250, 0.006, 0.000) (multiplicity 4)
Li (0.250, 0.188, 0.162) (multiplicity 4)
Li (0.250, 0.625, 0.073) (multiplicity 4)
Er (0.024, 0.703, 0.390) (multiplicity 8)
Er (0.250, 0.083, 0.495) (multiplicity 4)
Cu (0.000, 0.000, 0.730) (multiplicity 4)
Cu (0.068, 0.593, 0.757) (multiplicity 8)

***

The following is a PBE-GGA calculation of Li2ErCu10 after structural relaxation, from the Alexandria database.

Calculated values
Energy relative to the elements = -0.058 eV per atom
Total moment = 0.00 μB per cell

Lattice parameters (Å, degrees): 4.747 11.916 12.271 90.00 90.00 90.00
Space group Fmmm (No. 69)
Asymmetric unit:
Li (0.250, 0.000, 0.250) (multiplicity 8)
Er (0.000, 0.000, 0.000) (multiplicity 4)
Cu (0.000, 0.109, 0.389) (multiplicity 16)
Cu (0.000, 0.181, 0.176) (multiplicity 16)
Cu (0.250, 0.250, 0.000) (multiplicity 8)